Density functional theory data (PBE) for a relaxed LaMg4Ru crystal.

Calculated values
Formation energy = -0.16 eV/atom
Energy above the lowest structure with this stoichiometry = 0.00 eV/f.u.
Uncorrected energy = -3.591 eV per atom
Space group = Pmma, No. 51

Lattice parameters (Å, degrees): 8.5009 4.5051 7.3575 90.00 90.00 90.00
Closest atoms and distances in Å follow each position.
Fractional positions:
1 La 0.2500 0.0000 0.0737  1 Ru 2.49
2 La 0.7500 0.0000 0.9263  1 Ru 2.49
3 Mg 0.0000 0.0000 0.5000  2 Ru 2.74
4 Mg 0.0601 0.5000 0.7964  2 Ru 2.81, 1 Mg 2.93
5 Mg 0.2500 0.5000 0.4645  8 Mg 2.93-3.26, 2 Ru 3.01
6 Mg 0.4399 0.5000 0.7964  2 Ru 2.81, 1 Mg 2.93
7 Mg 0.5000 0.0000 0.5000  2 Ru 2.74
8 Mg 0.5601 0.5000 0.2036  2 Ru 2.81, 1 Mg 2.93
9 Mg 0.7500 0.5000 0.5355  8 Mg 2.93-3.26, 2 Ru 3.01
10 Mg 0.9399 0.5000 0.2036  2 Ru 2.81, 1 Mg 2.93
11 Ru 0.2500 0.0000 0.7354  1 La 2.49, 2 Mg 2.74
12 Ru 0.7500 0.0000 0.2646  1 La 2.49, 2 Mg 2.74

=====

Density functional theory data (PBE) for a relaxed La2Sm3Y6 crystal.

Calculated values
Formation energy = 0.01 eV/atom
Energy above the lowest structure with this stoichiometry = 0.00 eV/f.u.
Uncorrected energy = -5.695 eV per atom
Space group = R-3m, No. 166

Lattice parameters (Å, degrees): 32.3578 32.3578 32.3578 6.42 6.42 6.42
Closest atoms and distances in Å follow each position.
Fractional positions:
1 La 0.0457 0.0457 0.0457  6 La 3.62, 6 Y 3.65
2 La 0.9543 0.9543 0.9543  6 La 3.62, 6 Y 3.65
3 Sm 0.2268 0.2268 0.2268  6 Y 3.58-3.59, 6 Sm 3.62
4 Sm 0.5000 0.5000 0.5000  6 Y 3.59, 6 Sm 3.62
5 Sm 0.7732 0.7732 0.7732  6 Y 3.58-3.59, 6 Sm 3.62
6 Y 0.1366 0.1366 0.1366  6 Sm 3.59, 6 Y 3.62
7 Y 0.3185 0.3185 0.3185  9 Y 3.56-3.62, 3 La 3.65
8 Y 0.4099 0.4099 0.4099  3 Sm 3.58, 6 Y 3.62, 3 La 3.65
9 Y 0.5901 0.5901 0.5901  3 Sm 3.58, 6 Y 3.62, 3 La 3.65
10 Y 0.6815 0.6815 0.6815  9 Y 3.56-3.62, 3 La 3.65
11 Y 0.8634 0.8634 0.8634  6 Sm 3.59, 6 Y 3.62

=====

Density functional theory data (PBE) for a relaxed NdDyPuMg crystal.

Calculated values
Formation energy = 0.15 eV/atom
Uncorrected energy = -6.171 eV per atom
Space group = F-43m, No. 216

Lattice parameters (Å, degrees): 5.5144 5.5144 5.5144 60.00 60.00 60.00
Closest atoms and distances in Å follow each position.
Fractional positions:
1 Nd 0.0000 0.0000 0.0000  4 Mg 3.38, 4 Pu 3.38
2 Dy 0.5000 0.5000 0.5000  4 Pu 3.38, 4 Mg 3.38
3 Pu 0.7500 0.7500 0.7500  4 Nd 3.38, 4 Dy 3.38
4 Mg 0.2500 0.2500 0.2500  4 Dy 3.38, 4 Nd 3.38

=====

Density functional theory data (PBE) for a relaxed NaTl6Hg3 crystal.

Calculated values
Formation energy = -0.03 eV/atom
Energy above the lowest structure with this stoichiometry = 0.00 eV/f.u.
Uncorrected energy = -1.670 eV per atom
Space group = P2_1/m, No. 11

Lattice parameters (Å, degrees): 9.0288 5.7703 11.7911 90.00 109.74 90.00
Closest atoms and distances in Å follow each position.
Fractional positions:
1 Na 0.1889 0.2500 0.1270  2 Hg 3.29-3.32, 10 Tl 3.41-3.60
2 Na 0.8111 0.7500 0.8730  2 Hg 3.29-3.32, 10 Tl 3.41-3.60
3 Tl 0.0129 0.7500 0.1803  4 Hg 3.30-3.35, 5 Tl 3.37-3.69, 3 Na 3.45-3.46
4 Tl 0.1811 0.2500 0.6203  7 Hg 3.30-3.48, 5 Tl 3.37-3.65
5 Tl 0.2233 0.7500 0.9767  4 Hg 3.33-3.41, 5 Tl 3.33-3.69, 3 Na 3.45-3.50
6 Tl 0.3926 0.2500 0.4291  7 Tl 3.35-3.56, 4 Hg 3.40-3.48, 1 Na 3.41
7 Tl 0.4088 0.7500 0.7748  6 Tl 3.34-3.65, 5 Hg 3.35-3.47, 1 Na 3.42
8 Tl 0.4102 0.7500 0.2737  8 Tl 3.33-3.47, 2 Hg 3.48-3.53, 2 Na 3.60
9 Tl 0.5898 0.2500 0.7263  8 Tl 3.33-3.47, 2 Hg 3.48-3.53, 2 Na 3.60
10 Tl 0.5912 0.2500 0.2252  6 Tl 3.34-3.65, 5 Hg 3.35-3.47, 1 Na 3.42
11 Tl 0.6074 0.7500 0.5709  7 Tl 3.35-3.56, 4 Hg 3.40-3.48, 1 Na 3.41
12 Tl 0.7767 0.2500 0.0233  4 Hg 3.33-3.41, 5 Tl 3.33-3.69, 3 Na 3.45-3.50
13 Tl 0.8189 0.7500 0.3797  7 Hg 3.30-3.48, 5 Tl 3.37-3.65
14 Tl 0.9871 0.2500 0.8197  4 Hg 3.30-3.35, 5 Tl 3.37-3.69, 3 Na 3.45-3.46
15 Hg 0.0069 0.7500 0.6831  1 Na 3.29, 8 Tl 3.34-3.48, 3 Hg 3.48-3.63
16 Hg 0.2077 0.7500 0.4780  9 Tl 3.30-3.48, 3 Hg 3.48-3.63
17 Hg 0.3755 0.2500 0.9278  9 Tl 3.30-3.53, 1 Na 3.32
18 Hg 0.6245 0.7500 0.0722  9 Tl 3.30-3.53, 1 Na 3.32
19 Hg 0.7923 0.2500 0.5220  9 Tl 3.30-3.48, 3 Hg 3.48-3.63
20 Hg 0.9931 0.2500 0.3169  1 Na 3.29, 8 Tl 3.34-3.48, 3 Hg 3.48-3.63

=====

Density functional theory data (PBE) for a relaxed ZnHg2GeIr crystal.

Calculated values
Formation energy = 1.15 eV/atom
Uncorrected energy = -1.919 eV per atom
Space group = P4/mmm, No. 123

Lattice parameters (Å, degrees): 5.1429 5.1429 4.5123 90.00 90.00 90.00
Closest atoms and distances in Å follow each position.
Fractional positions:
1 Zn 0.0000 0.0000 0.0000  2 Ge 2.26
2 Hg 0.0000 0.5000 0.5000  2 Ge 2.57
3 Hg 0.5000 0.0000 0.5000  2 Ge 2.57
4 Ge 0.0000 0.0000 0.5000  2 Zn 2.26
5 Ir 0.5000 0.5000 0.0000  8 Hg 3.42, 4 Zn 3.64

=====

Density functional theory data (PBE) for a relaxed NaZrCu2Ag crystal.

Calculated values
Formation energy = 0.96 eV/atom
Uncorrected energy = -3.226 eV per atom
Space group = P4/mmm, No. 123

Lattice parameters (Å, degrees): 4.5486 4.5486 4.7115 90.00 90.00 90.00
Closest atoms and distances in Å follow each position.
Fractional positions:
1 Na 0.0000 0.0000 0.0000  4 Cu 2.27, 2 Ag 2.36
2 Zr 0.5000 0.5000 0.5000  4 Ag 3.22, 8 Cu 3.27
3 Cu 0.0000 0.5000 0.0000  2 Na 2.27
4 Cu 0.5000 0.0000 0.0000  2 Na 2.27
5 Ag 0.0000 0.0000 0.5000  2 Na 2.36

=====

Density functional theory data (PBE) for a relaxed LaCu2Tc crystal.

Calculated values
Formation energy = 0.46 eV/atom
Energy above the lowest structure with this stoichiometry = 1.42 eV/f.u.
Uncorrected energy = -5.414 eV per atom
Space group = F-43m, No. 216

Lattice parameters (Å, degrees): 4.6199 4.6199 4.6199 60.00 60.00 60.00
Closest atoms and distances in Å follow each position.
Fractional positions:
1 La 0.0000 0.0000 0.0000  4 Tc 2.83, 4 Cu 2.83
2 Cu 0.2500 0.2500 0.2500  4 Cu 2.83, 4 La 2.83
3 Cu 0.5000 0.5000 0.5000  4 Tc 2.83, 4 Cu 2.83
4 Tc 0.7500 0.7500 0.7500  4 La 2.83, 4 Cu 2.83

=====

Density functional theory data (PBE) for a relaxed Ca3TbPt8 crystal.

Calculated values
Formation energy = -0.99 eV/atom
Uncorrected energy = -5.904 eV per atom
Space group = R3m, No. 160

Lattice parameters (Å, degrees): 9.4115 9.4115 9.4115 33.74 33.74 33.74
Closest atoms and distances in Å follow each position.
Fractional positions:
1 Ca 0.0000 0.0000 0.0000  12 Pt 3.16-3.21, 1 Ca 3.29, 3 Tb 3.37
2 Ca 0.1237 0.1237 0.1237  12 Pt 3.20-3.22, 4 Ca 3.29-3.32
3 Ca 0.4958 0.4958 0.4958  12 Pt 3.17-3.24, 3 Ca 3.32, 1 Tb 3.35
4 Tb 0.6217 0.6217 0.6217  12 Pt 3.17-3.21, 4 Ca 3.35-3.37
5 Pt 0.0576 0.5603 0.5603  6 Pt 2.70-2.75
6 Pt 0.0603 0.0603 0.5635  6 Pt 2.71-2.75
7 Pt 0.0603 0.5635 0.0603  6 Pt 2.71-2.75
8 Pt 0.3104 0.3104 0.3104  6 Pt 2.70-2.71
9 Pt 0.5603 0.0576 0.5603  6 Pt 2.70-2.75
10 Pt 0.5603 0.5603 0.0576  6 Pt 2.70-2.75
11 Pt 0.5635 0.0603 0.0603  6 Pt 2.71-2.75
12 Pt 0.8104 0.8104 0.8104  6 Pt 2.74

=====

Density functional theory data (PBE) for a relaxed TbErSc4 crystal.

Calculated values
Formation energy = 0.03 eV/atom
Energy above the lowest structure with this stoichiometry = 0.00 eV/f.u.
Uncorrected energy = -5.719 eV per atom
Space group = Cmc2_1, No. 36

Lattice parameters (Å, degrees): 8.8841 8.8841 10.8398 90.00 90.00 158.11
Closest atoms and distances in Å follow each position.
Fractional positions:
1 Tb 0.1631 0.8369 0.5000  7 Sc 3.33-3.47, 3 Er 3.33-3.40, 2 Tb 3.37
2 Tb 0.8369 0.1631 0.0000  7 Sc 3.33-3.47, 3 Er 3.33-3.40, 2 Tb 3.37
3 Er 0.2798 0.7202 0.2564  3 Tb 3.33-3.40, 7 Sc 3.37-3.45, 2 Er 3.37
4 Er 0.7202 0.2798 0.7564  3 Tb 3.33-3.40, 7 Sc 3.37-3.45, 2 Er 3.37
5 Sc 0.0519 0.9481 0.7571  9 Sc 3.25-3.37, 2 Er 3.39, 1 Tb 3.40
6 Sc 0.1631 0.8369 0.0092  7 Sc 3.26-3.37, 3 Er 3.37, 2 Tb 3.47
7 Sc 0.3927 0.6073 0.7507  8 Sc 3.22-3.37, 2 Tb 3.33, 2 Er 3.45
8 Sc 0.4966 0.5034 0.5056  10 Sc 3.22-3.37, 2 Tb 3.36
9 Sc 0.5034 0.4966 0.0056  10 Sc 3.22-3.37, 2 Tb 3.36
10 Sc 0.6073 0.3927 0.2507  8 Sc 3.22-3.37, 2 Tb 3.33, 2 Er 3.45
11 Sc 0.8369 0.1631 0.5092  7 Sc 3.26-3.37, 3 Er 3.37, 2 Tb 3.47
12 Sc 0.9481 0.0519 0.2571  9 Sc 3.25-3.37, 2 Er 3.39, 1 Tb 3.40

=====

Density functional theory data (PBE) for a relaxed PuNpUNi crystal.

Calculated values
Formation energy = 0.07 eV/atom
Uncorrected energy = -11.014 eV per atom
Space group = F-43m, No. 216

Lattice parameters (Å, degrees): 4.6508 4.6508 4.6508 60.00 60.00 60.00
Closest atoms and distances in Å follow each position.
Fractional positions:
1 Pu 0.0000 0.0000 0.0000  4 Ni 2.85, 4 U 2.85
2 Np 0.5000 0.5000 0.5000  4 Ni 2.85, 4 U 2.85
3 U 0.2500 0.2500 0.2500  4 Np 2.85, 4 Pu 2.85
4 Ni 0.7500 0.7500 0.7500  4 Pu 2.85, 4 Np 2.85

=====

Density functional theory data (PBE) for a relaxed YErTm3 crystal.

Calculated values
Formation energy = 0.06 eV/atom
Energy above the lowest structure with this stoichiometry = 0.28 eV/f.u.
Uncorrected energy = -4.832 eV per atom
Space group = P2_1/c, No. 14

Lattice parameters (Å, degrees): 8.7299 6.0216 12.1807 90.00 105.75 90.00
Closest atoms and distances in Å follow each position.
Fractional positions:
1 Y 0.2498 0.1728 0.1255  9 Tm 3.41-3.63, 2 Er 3.48-3.57
2 Y 0.2498 0.3272 0.6255  9 Tm 3.41-3.63, 2 Er 3.48-3.57
3 Y 0.7502 0.6728 0.3745  9 Tm 3.41-3.63, 2 Er 3.48-3.57
4 Y 0.7502 0.8272 0.8745  9 Tm 3.41-3.63, 2 Er 3.48-3.57
5 Er 0.4526 0.2258 0.4214  1 Er 3.30, 6 Tm 3.32-3.65, 2 Y 3.48-3.57
6 Er 0.4526 0.2742 0.9214  1 Er 3.30, 6 Tm 3.32-3.65, 2 Y 3.48-3.57
7 Er 0.5474 0.7258 0.0786  1 Er 3.30, 6 Tm 3.32-3.65, 2 Y 3.48-3.57
8 Er 0.5474 0.7742 0.5786  1 Er 3.30, 6 Tm 3.32-3.65, 2 Y 3.48-3.57
9 Tm 0.0509 0.1630 0.8255  8 Tm 3.41-3.59, 1 Er 3.45, 3 Y 3.49-3.60
10 Tm 0.0509 0.3370 0.3255  8 Tm 3.41-3.59, 1 Er 3.45, 3 Y 3.49-3.60
11 Tm 0.1456 0.6624 0.9744  7 Tm 3.38-3.64, 2 Er 3.41-3.74, 3 Y 3.46-3.57
12 Tm 0.1456 0.8376 0.4744  7 Tm 3.38-3.64, 2 Er 3.41-3.74, 3 Y 3.46-3.57
13 Tm 0.3392 0.6945 0.2790  4 Er 3.32-3.65, 4 Tm 3.38-3.64, 3 Y 3.41-3.63
14 Tm 0.3392 0.8055 0.7790  4 Er 3.32-3.65, 4 Tm 3.38-3.64, 3 Y 3.41-3.63
15 Tm 0.6608 0.1945 0.2210  4 Er 3.32-3.65, 4 Tm 3.38-3.64, 3 Y 3.41-3.63
16 Tm 0.6608 0.3055 0.7210  4 Er 3.32-3.65, 4 Tm 3.38-3.64, 3 Y 3.41-3.63
17 Tm 0.8544 0.1624 0.5256  7 Tm 3.38-3.64, 2 Er 3.41-3.74, 3 Y 3.46-3.57
18 Tm 0.8544 0.3376 0.0256  7 Tm 3.38-3.64, 2 Er 3.41-3.74, 3 Y 3.46-3.57
19 Tm 0.9491 0.6630 0.6745  8 Tm 3.41-3.59, 1 Er 3.45, 3 Y 3.49-3.60
20 Tm 0.9491 0.8370 0.1745  8 Tm 3.41-3.59, 1 Er 3.45, 3 Y 3.49-3.60

=====

Density functional theory data (PBE) for a relaxed Li2HfSnH crystal.

Calculated values
Uncorrected energy = -4.550 eV per atom
Space group = P4/mmm, No. 123

Lattice parameters (Å, degrees): 4.1576 4.1576 4.3299 90.00 90.00 90.00
Closest atoms and distances in Å follow each position.
Fractional positions:
1 Li 0.0000 0.5000 0.0000  2 H 2.08
2 Li 0.5000 0.0000 0.0000  2 H 2.08
3 Hf 0.0000 0.0000 0.5000  2 H 2.16
4 Sn 0.5000 0.5000 0.5000  4 Hf 2.94, 8 Li 3.00
5 H 0.0000 0.0000 0.0000  4 Li 2.08, 2 Hf 2.16

=====

- Which of these has the highest uncorrected energy?
  NaTl6Hg3